This record from Alexandria describes crystalline Ce2Pr2SmRh5 at its relaxed geometry. The functional is PBE-GGA.

Cell: 3.636 11.034 11.034 Å, 90.00 90.00 90.00°
Fractional coordinates of all 20 atoms:
Rh 0.500 0.552 0.701
Rh 0.500 0.448 0.299
Rh 0.500 0.948 0.201
Rh 0.500 0.701 0.448
Rh 0.500 0.000 0.500
Rh 0.500 0.500 0.000
Rh 0.500 0.052 0.799
Rh 0.500 0.201 0.052
Rh 0.500 0.799 0.948
Rh 0.500 0.299 0.552
Pr 0.000 0.669 0.169
Pr 0.000 0.831 0.669
Pr 0.000 0.331 0.831
Pr 0.000 0.169 0.331
Sm 0.000 0.000 0.000
Sm 0.000 0.500 0.500
Ce 0.000 0.640 0.860
Ce 0.000 0.140 0.640
Ce 0.000 0.360 0.140
Ce 0.000 0.860 0.360

Properties
Calculated density, g/cm3: 9.2
Energy relative to the elements, kJ per mole of atoms: -54.5
N(E_F), states/eV per atom: 0.63
Space group: P4/mbm

This record from Alexandria describes crystalline TbCe2Pr2Rh5 at its relaxed geometry. The functional is PBE-GGA.

Cell: 3.613 11.002 11.002 Å, 90.00 90.00 90.00°
Fractional coordinates of all 20 atoms:
Pr 0.000 0.668 0.168
Pr 0.000 0.168 0.332
Pr 0.000 0.332 0.832
Pr 0.000 0.832 0.668
Ce 0.000 0.641 0.859
Ce 0.000 0.359 0.141
Ce 0.000 0.141 0.641
Ce 0.000 0.859 0.359
Rh 0.500 0.946 0.198
Rh 0.500 0.000 0.500
Rh 0.500 0.500 0.000
Rh 0.500 0.054 0.802
Rh 0.500 0.198 0.054
Rh 0.500 0.698 0.446
Rh 0.500 0.302 0.554
Rh 0.500 0.554 0.698
Rh 0.500 0.446 0.302
Rh 0.500 0.802 0.946
Tb 0.000 0.000 0.000
Tb 0.000 0.500 0.500

Properties
Calculated density, g/cm3: 9.4
Energy relative to the elements, kJ per mole of atoms: -56.3
N(E_F), states/eV per atom: 0.62
Space group: P4/mbm

This record from Alexandria describes crystalline CePrTlRh at its relaxed geometry. The functional is PBE-GGA.

Cell: 5.275 5.275 5.275 Å, 60.00 60.00 60.00°
Fractional coordinates of all 4 atoms:
Rh 0.500 0.500 0.500
Tl 0.000 0.000 0.000
Pr 0.750 0.750 0.750
Ce 0.250 0.250 0.250

Properties
Calculated density, g/cm3: 9.4
Energy relative to the elements, kJ per mole of atoms: -29.8
N(E_F), states/eV per atom: 2.10
Space group: F-43m

This record from Alexandria describes crystalline Ce2Pr2TmRh5 at its relaxed geometry. The functional is PBE-GGA.

Cell: 3.586 10.974 10.974 Å, 90.00 90.00 90.00°
Fractional coordinates of all 20 atoms:
Ce 0.000 0.142 0.642
Ce 0.000 0.642 0.858
Ce 0.000 0.358 0.142
Ce 0.000 0.858 0.358
Rh 0.500 0.694 0.445
Rh 0.500 0.000 0.500
Rh 0.500 0.445 0.306
Rh 0.500 0.555 0.694
Rh 0.500 0.055 0.806
Rh 0.500 0.500 0.000
Rh 0.500 0.194 0.055
Rh 0.500 0.306 0.555
Rh 0.500 0.806 0.945
Rh 0.500 0.945 0.194
Pr 0.000 0.832 0.668
Pr 0.000 0.168 0.332
Pr 0.000 0.332 0.832
Pr 0.000 0.668 0.168
Tm 0.000 0.500 0.500
Tm 0.000 0.000 0.000

Properties
Calculated density, g/cm3: 9.6
Energy relative to the elements, kJ per mole of atoms: -57.7
N(E_F), states/eV per atom: 0.62
Space group: P4/mbm

This record from Alexandria describes crystalline Ce2Pr2YRh5 at its relaxed geometry. The functional is PBE-GGA.

Cell: 3.611 11.007 11.007 Å, 90.00 90.00 90.00°
Fractional coordinates of all 20 atoms:
Y 0.000 0.000 0.000
Y 0.000 0.500 0.500
Rh 0.500 0.199 0.053
Rh 0.500 0.000 0.500
Rh 0.500 0.053 0.801
Rh 0.500 0.447 0.301
Rh 0.500 0.500 0.000
Rh 0.500 0.553 0.699
Rh 0.500 0.699 0.447
Rh 0.500 0.947 0.199
Rh 0.500 0.801 0.947
Rh 0.500 0.301 0.553
Pr 0.000 0.331 0.831
Pr 0.000 0.169 0.331
Pr 0.000 0.669 0.169
Pr 0.000 0.831 0.669
Ce 0.000 0.859 0.359
Ce 0.000 0.641 0.859
Ce 0.000 0.359 0.141
Ce 0.000 0.141 0.641

Properties
Calculated density, g/cm3: 8.8
Energy relative to the elements, kJ per mole of atoms: -55.9
N(E_F), states/eV per atom: 0.63
Space group: P4/mbm

This record from Alexandria describes crystalline Ce3Pr4Ru2 at its relaxed geometry. The functional is PBE-GGA.

Cell: 3.773 8.968 8.872 Å, 115.93 102.28 90.00°
Fractional coordinates of all 9 atoms:
Ce 0.924 0.812 0.847
Ce 0.076 0.188 0.153
Ce 0.000 0.500 0.000
Pr 0.770 0.353 0.539
Pr 0.376 0.117 0.751
Pr 0.230 0.647 0.461
Pr 0.624 0.883 0.249
Ru 0.582 0.396 0.163
Ru 0.418 0.604 0.837

Properties
Calculated density, g/cm3: 7.5
Energy relative to the elements, kJ per mole of atoms: -16.4
N(E_F), states/eV per atom: 1.68
Space group: C2/m

This record from Alexandria describes crystalline CePrRu4 at its relaxed geometry. The functional is PBE-GGA.

Cell: 5.402 5.402 5.402 Å, 60.00 60.00 60.00°
Fractional coordinates of all 6 atoms:
Pr 0.250 0.250 0.250
Ru 0.625 0.625 0.625
Ru 0.625 0.625 0.125
Ru 0.125 0.625 0.625
Ru 0.625 0.125 0.625
Ce 0.000 0.000 0.000

Properties
Calculated density, g/cm3: 10.2
Energy relative to the elements, kJ per mole of atoms: -18.3
N(E_F), states/eV per atom: 0.80
Space group: F-43m

This record from Alexandria describes crystalline Ce2Pr2Ru3 at its relaxed geometry. The functional is PBE-GGA.

Cell: 4.420 5.924 7.436 Å, 96.64 94.92 107.64°
Fractional coordinates of all 7 atoms:
Ru 0.802 0.626 0.241
Ru 0.198 0.374 0.759
Ru 0.000 0.000 0.000
Pr 0.847 0.743 0.636
Pr 0.153 0.257 0.364
Ce 0.376 0.734 0.093
Ce 0.624 0.266 0.907

Properties
Calculated density, g/cm3: 7.9
Energy relative to the elements, kJ per mole of atoms: -23.7
N(E_F), states/eV per atom: 0.65
Space group: P-1

This record from Alexandria describes crystalline CePrRu3 at its relaxed geometry. The functional is PBE-GGA.

Cell: 6.606 6.606 6.606 Å, 61.48 61.48 61.48°
Fractional coordinates of all 10 atoms:
Ru 0.360 0.769 0.359
Ru 0.269 0.860 0.859
Ru 0.359 0.360 0.769
Ru 0.769 0.359 0.360
Ru 0.860 0.859 0.269
Ru 0.859 0.269 0.860
Ce 0.146 0.146 0.146
Ce 0.646 0.646 0.646
Pr 0.338 0.338 0.338
Pr 0.838 0.838 0.838

Properties
Calculated density, g/cm3: 9.2
Energy relative to the elements, kJ per mole of atoms: 23.0
N(E_F), states/eV per atom: 1.01
Space group: R3m

This record from Alexandria describes crystalline Ce5PrRu4 at its relaxed geometry. The functional is PBE-GGA.

Cell: 6.809 7.993 9.696 Å, 90.00 90.00 90.00°
Fractional coordinates of all 20 atoms:
Ru 0.501 0.823 0.500
Ru 0.981 0.500 0.753
Ru 0.499 0.323 0.000
Ru 0.501 0.177 0.500
Ru 0.499 0.677 0.000
Ru 0.019 0.000 0.747
Ru 0.981 0.500 0.247
Ru 0.019 0.000 0.253
Ce 0.111 0.000 0.500
Ce 0.722 0.267 0.312
Ce 0.722 0.267 0.688
Ce 0.278 0.233 0.188
Ce 0.722 0.733 0.688
Ce 0.889 0.500 0.000
Ce 0.722 0.733 0.312
Ce 0.278 0.767 0.812
Ce 0.278 0.233 0.812
Ce 0.278 0.767 0.188
Pr 0.764 0.000 0.000
Pr 0.236 0.500 0.500

Properties
Calculated density, g/cm3: 7.8
Energy relative to the elements, kJ per mole of atoms: -15.1
N(E_F), states/eV per atom: 1.80
Space group: Pmmn

This record from Alexandria describes crystalline CePrRu at its relaxed geometry. The functional is PBE-GGA.

Cell: 4.834 4.610 7.294 Å, 88.70 89.96 90.20°
Fractional coordinates of all 6 atoms:
Ce 0.024 0.341 0.043
Ce 0.522 0.834 0.004
Ru 0.021 0.941 0.244
Ru 0.525 0.234 0.803
Pr 0.023 0.832 0.641
Pr 0.523 0.343 0.405

Properties
Calculated density, g/cm3: 7.8
Energy relative to the elements, kJ per mole of atoms: -20.7
N(E_F), states/eV per atom: 1.45
Space group: P-1

This record from Alexandria describes crystalline CePr2Ru at its relaxed geometry. The functional is PBE-GGA.

Cell: 6.503 7.201 10.103 Å, 90.00 90.00 90.00°
Fractional coordinates of all 16 atoms:
Ce 0.835 0.054 0.250
Ce 0.665 0.554 0.250
Ce 0.165 0.946 0.750
Ce 0.335 0.446 0.750
Ru 0.003 0.640 0.750
Ru 0.503 0.860 0.250
Ru 0.497 0.140 0.750
Ru 0.997 0.360 0.250
Pr 0.175 0.669 0.434
Pr 0.825 0.331 0.934
Pr 0.175 0.669 0.066
Pr 0.675 0.831 0.566
Pr 0.325 0.169 0.066
Pr 0.825 0.331 0.566
Pr 0.675 0.831 0.934
Pr 0.325 0.169 0.434

Properties
Calculated density, g/cm3: 7.3
Energy relative to the elements, kJ per mole of atoms: -22.8
N(E_F), states/eV per atom: 1.72
Space group: Pnma

This record from Alexandria describes crystalline Ce2Pr2Ru3 at its relaxed geometry. The functional is PBE-GGA.

Cell: 4.105 6.205 7.372 Å, 85.64 73.71 70.70°
Fractional coordinates of all 7 atoms:
Ru 0.010 0.665 0.317
Ru 0.000 0.000 0.000
Ru 0.990 0.335 0.683
Pr 0.299 0.778 0.624
Pr 0.701 0.222 0.376
Ce 0.407 0.285 0.901
Ce 0.593 0.715 0.099

Properties
Calculated density, g/cm3: 8.4
Energy relative to the elements, kJ per mole of atoms: -31.4
N(E_F), states/eV per atom: 0.87
Space group: P-1

This record from Alexandria describes crystalline CePrRu2 at its relaxed geometry. The functional is PBE-GGA.

Cell: 6.153 6.192 9.951 Å, 90.00 103.87 90.00°
Fractional coordinates of all 16 atoms:
Ru 0.546 0.115 0.894
Ru 0.046 0.885 0.394
Ru 0.954 0.115 0.606
Ru 0.454 0.885 0.106
Ru 0.917 0.328 0.042
Ru 0.417 0.672 0.542
Ru 0.583 0.328 0.458
Ru 0.083 0.672 0.958
Pr 0.541 0.632 0.849
Pr 0.959 0.632 0.651
Pr 0.459 0.368 0.151
Pr 0.041 0.368 0.349
Ce 0.530 0.868 0.346
Ce 0.030 0.132 0.846
Ce 0.970 0.868 0.154
Ce 0.470 0.132 0.654

Properties
Calculated density, g/cm3: 8.7
Energy relative to the elements, kJ per mole of atoms: -24.6
N(E_F), states/eV per atom: 0.74
Space group: P2/c

This record from Alexandria describes crystalline CePrRu at its relaxed geometry. The functional is PBE-GGA.

Cell: 6.863 7.131 8.141 Å, 58.10 90.00 90.00°
Fractional coordinates of all 12 atoms:
Ru 0.450 0.319 0.194
Ru 0.950 0.681 0.306
Ru 0.550 0.681 0.806
Ru 0.050 0.319 0.694
Ce 0.681 0.675 0.118
Ce 0.181 0.325 0.382
Ce 0.319 0.325 0.882
Ce 0.819 0.675 0.618
Pr 0.833 0.179 0.091
Pr 0.167 0.821 0.909
Pr 0.667 0.179 0.591
Pr 0.333 0.821 0.409

Properties
Calculated density, g/cm3: 7.5
Energy relative to the elements, kJ per mole of atoms: -23.5
N(E_F), states/eV per atom: 1.35
Space group: P2_1/c

This record from Alexandria describes crystalline Ce3PrRu at its relaxed geometry. The functional is PBE-GGA.

Cell: 5.414 5.414 5.414 Å, 90.00 90.00 90.00°
Fractional coordinates of all 5 atoms:
Ru 0.000 0.000 0.000
Ce 0.000 0.500 0.000
Ce 0.500 0.000 0.000
Ce 0.000 0.000 0.500
Pr 0.500 0.500 0.500

Properties
Calculated density, g/cm3: 6.9
Energy relative to the elements, kJ per mole of atoms: 0.4
N(E_F), states/eV per atom: 3.38
Space group: Pm-3m

This record from Alexandria describes crystalline CePr2Ru at its relaxed geometry. The functional is PBE-GGA.

Cell: 3.567 3.567 10.995 Å, 80.66 80.66 60.00°
Fractional coordinates of all 4 atoms:
Pr 0.105 0.105 0.685
Pr 0.895 0.895 0.315
Ce 0.000 0.000 0.000
Ru 0.500 0.500 0.500

Properties
Calculated density, g/cm3: 7.3
Energy relative to the elements, kJ per mole of atoms: 26.3
N(E_F), states/eV per atom: 2.08
Space group: R-3m

This record from Alexandria describes crystalline Ce5Pr2Ru3 at its relaxed geometry. The functional is PBE-GGA.

Cell: 6.223 9.512 9.639 Å, 108.41 100.51 101.47°
Fractional coordinates of all 20 atoms:
Ru 0.902 0.191 0.477
Ru 0.098 0.809 0.523
Ru 0.747 0.997 0.001
Ru 0.253 0.003 0.999
Ru 0.609 0.522 0.812
Ru 0.391 0.478 0.188
Ce 0.031 0.984 0.287
Ce 0.274 0.468 0.491
Ce 0.471 0.723 0.028
Ce 0.591 0.161 0.264
Ce 0.726 0.532 0.509
Ce 0.969 0.016 0.713
Ce 0.409 0.839 0.736
Ce 0.529 0.277 0.972
Ce 0.076 0.260 0.126
Ce 0.924 0.740 0.874
Pr 0.066 0.403 0.807
Pr 0.934 0.597 0.193
Pr 0.542 0.820 0.396
Pr 0.458 0.180 0.604

Properties
Calculated density, g/cm3: 8.3
Energy relative to the elements, kJ per mole of atoms: -18.3
N(E_F), states/eV per atom: 2.01
Space group: P-1

This record from Alexandria describes crystalline CePr3Ru at its relaxed geometry. The functional is PBE-GGA.

Cell: 5.586 5.586 5.586 Å, 90.00 90.00 90.00°
Fractional coordinates of all 5 atoms:
Pr 0.500 0.000 0.000
Pr 0.000 0.000 0.500
Pr 0.000 0.500 0.000
Ru 0.000 0.000 0.000
Ce 0.500 0.500 0.500

Properties
Calculated density, g/cm3: 6.3
Energy relative to the elements, kJ per mole of atoms: 12.2
N(E_F), states/eV per atom: 2.24
Space group: Pm-3m

This record from Alexandria describes crystalline Ce3Pr2Ru2 at its relaxed geometry. The functional is PBE-GGA.

Cell: 3.799 6.281 8.794 Å, 68.59 77.53 72.40°
Fractional coordinates of all 7 atoms:
Pr 0.161 0.479 0.199
Pr 0.839 0.521 0.801
Ru 0.127 0.970 0.775
Ru 0.873 0.030 0.225
Ce 0.621 0.192 0.566
Ce 0.500 0.000 0.000
Ce 0.379 0.808 0.434

Properties
Calculated density, g/cm3: 8.1
Energy relative to the elements, kJ per mole of atoms: -23.3
N(E_F), states/eV per atom: 1.69
Space group: C2/m